Entry from the Alexandria database: MnF3 after structural relaxation (PBE+U).

Geometry as CIF:
```
data_MnF3
_cell_length_a 8.5701
_cell_length_b 8.5701
_cell_length_c 4.6876
_cell_angle_alpha 90.00
_cell_angle_beta 90.00
_cell_angle_gamma 120.00
_symmetry_space_group_name_H-M 'P 3 2 1'
_symmetry_Int_Tables_number 150
loop_
_symmetry_equiv_pos_as_xyz
'x,y,z'
'-y,x-y,z'
'-x+y,-x,z'
'y,x,-z'
'x-y,-y,-z'
'-x,-x+y,-z'
loop_
_atom_site_label
_atom_site_type_symbol
_atom_site_fract_x
_atom_site_fract_y
_atom_site_fract_z
Mn1 Mn 0.0000 0.3320 0.0000
Mn2 Mn 0.0000 0.6635 0.5000
F1 F 0.0963 0.5549 0.2596
F2 F 0.1145 0.8745 0.2635
F3 F 0.2031 0.4308 0.7719
```

The electronic total energy is -5.6845 eV/atom.